# PBE SrTl2Cd, relaxed
data_SrTl2Cd
_space_group_name_H-M_alt 'P 1'
_space_group_IT_number 1
_cell_length_a 7.776
_cell_length_b 7.776
_cell_length_c 7.776
_cell_angle_alpha 90.00
_cell_angle_beta 90.00
_cell_angle_gamma 90.00
loop_
_space_group_symop_operation_xyz
'x,y,z'
loop_
_atom_site_label
_atom_site_fract_x
_atom_site_fract_y
_atom_site_fract_z
Sr1 0.000 0.000 0.000
Sr2 0.000 0.500 0.500
Sr3 0.500 0.000 0.500
Sr4 0.500 0.500 0.000
Tl1 0.250 0.250 0.250
Tl2 0.250 0.250 0.750
Tl3 0.250 0.750 0.250
Tl4 0.250 0.750 0.750
Tl5 0.750 0.250 0.250
Tl6 0.750 0.250 0.750
Tl7 0.750 0.750 0.250
Tl8 0.750 0.750 0.750
Cd1 0.000 0.000 0.500
Cd2 0.000 0.500 0.000
Cd3 0.500 0.000 0.000
Cd4 0.500 0.500 0.500
# VASP energy = -0.077 Ha/atom
# total magnetic moment = 0.000 μB per cell
# formation energy from the elements = -0.250 eV per atom